Material: NaLaCdSi2
Method: DFT, GGA-PBE
State: relaxed

Summary:
Symmetry: No. 123

a b c (Å): 5.018 5.018 5.296
angles (deg): 90.00 90.00 90.00
Fractional positions:
Na: 0.000 0.000 0.000
La: 0.000 0.000 0.500
Cd: 0.500 0.500 0.500
Si: 0.000 0.500 0.000
Si: 0.500 0.000 0.000

Material: NaLaSmCd
Method: DFT, GGA-PBE
State: relaxed

Summary:
Symmetry: No. 216
E_form, eV per formula unit: 0.0

a b c (Å): 7.894 7.894 7.894
angles (deg): 90.00 90.00 90.00
Fractional positions:
Na: 0.000 0.000 0.000
Na: 0.000 0.500 0.500
Na: 0.500 0.000 0.500
Na: 0.500 0.500 0.000
La: 0.250 0.250 0.750
La: 0.250 0.750 0.250
La: 0.750 0.250 0.250
La: 0.750 0.750 0.750
Sm: 0.250 0.250 0.250
Sm: 0.250 0.750 0.750
Sm: 0.750 0.250 0.750
Sm: 0.750 0.750 0.250
Cd: 0.000 0.000 0.500
Cd: 0.000 0.500 0.000
Cd: 0.500 0.000 0.000
Cd: 0.500 0.500 0.500

Material: Na2LaCd2Sn2
Method: DFT, GGA-PBE
State: relaxed

Summary:
Symmetry: No. 166
E_form, eV per formula unit: -2.6

a b c (Å): 9.391 9.391 9.391
angles (deg): 30.25 30.25 30.25
Fractional positions:
Na: 0.143 0.143 0.143
Na: 0.857 0.857 0.857
La: 0.000 0.000 0.000
Cd: 0.429 0.429 0.429
Cd: 0.571 0.571 0.571
Sn: 0.267 0.267 0.267
Sn: 0.733 0.733 0.733

Material: NaLaCdSn
Method: DFT, GGA-PBE
State: relaxed

Summary:
Symmetry: No. 216
E_form, eV per formula unit: -1.6

a b c (Å): 7.689 7.689 7.689
angles (deg): 90.00 90.00 90.00
Fractional positions:
Na: 0.000 0.000 0.000
Na: 0.000 0.500 0.500
Na: 0.500 0.000 0.500
Na: 0.500 0.500 0.000
La: 0.000 0.000 0.500
La: 0.000 0.500 0.000
La: 0.500 0.000 0.000
La: 0.500 0.500 0.500
Cd: 0.250 0.250 0.750
Cd: 0.250 0.750 0.250
Cd: 0.750 0.250 0.250
Cd: 0.750 0.750 0.750
Sn: 0.250 0.250 0.250
Sn: 0.250 0.750 0.750
Sn: 0.750 0.250 0.750
Sn: 0.750 0.750 0.250

Material: NaLaTbCd
Method: DFT, GGA-PBE
State: relaxed

Summary:
Symmetry: No. 216
E_form, eV per formula unit: 0.1

a b c (Å): 7.840 7.840 7.840
angles (deg): 90.00 90.00 90.00
Fractional positions:
Na: 0.000 0.000 0.000
Na: 0.000 0.500 0.500
Na: 0.500 0.000 0.500
Na: 0.500 0.500 0.000
La: 0.250 0.250 0.250
La: 0.250 0.750 0.750
La: 0.750 0.250 0.750
La: 0.750 0.750 0.250
Tb: 0.250 0.250 0.750
Tb: 0.250 0.750 0.250
Tb: 0.750 0.250 0.250
Tb: 0.750 0.750 0.750
Cd: 0.000 0.000 0.500
Cd: 0.000 0.500 0.000
Cd: 0.500 0.000 0.000
Cd: 0.500 0.500 0.500

Material: NaLaTlCd
Method: DFT, GGA-PBE
State: relaxed

Summary:
Symmetry: No. 216
E_form, eV per formula unit: -1.1

a b c (Å): 7.695 7.695 7.695
angles (deg): 90.00 90.00 90.00
Fractional positions:
Na: 0.000 0.000 0.000
Na: 0.000 0.500 0.500
Na: 0.500 0.000 0.500
Na: 0.500 0.500 0.000
La: 0.000 0.000 0.500
La: 0.000 0.500 0.000
La: 0.500 0.000 0.000
La: 0.500 0.500 0.500
Tl: 0.250 0.250 0.250
Tl: 0.250 0.750 0.750
Tl: 0.750 0.250 0.750
Tl: 0.750 0.750 0.250
Cd: 0.250 0.250 0.750
Cd: 0.250 0.750 0.250
Cd: 0.750 0.250 0.250
Cd: 0.750 0.750 0.750

Material: NaLaTmCd
Method: DFT, GGA-PBE
State: relaxed

Summary:
Symmetry: No. 216
E_form, eV per formula unit: 0.1

a b c (Å): 7.789 7.789 7.789
angles (deg): 90.00 90.00 90.00
Fractional positions:
Na: 0.000 0.000 0.000
Na: 0.000 0.500 0.500
Na: 0.500 0.000 0.500
Na: 0.500 0.500 0.000
La: 0.250 0.250 0.750
La: 0.250 0.750 0.250
La: 0.750 0.250 0.250
La: 0.750 0.750 0.750
Tm: 0.250 0.250 0.250
Tm: 0.250 0.750 0.750
Tm: 0.750 0.250 0.750
Tm: 0.750 0.750 0.250
Cd: 0.000 0.000 0.500
Cd: 0.000 0.500 0.000
Cd: 0.500 0.000 0.000
Cd: 0.500 0.500 0.500

Material: NaLaYCd
Method: DFT, GGA-PBE
State: relaxed

Summary:
Symmetry: No. 216
E_form, eV per formula unit: 0.0

a b c (Å): 7.839 7.839 7.839
angles (deg): 90.00 90.00 90.00
Fractional positions:
Na: 0.000 0.000 0.000
Na: 0.000 0.500 0.500
Na: 0.500 0.000 0.500
Na: 0.500 0.500 0.000
La: 0.250 0.250 0.250
La: 0.250 0.750 0.750
La: 0.750 0.250 0.750
La: 0.750 0.750 0.250
Y: 0.250 0.250 0.750
Y: 0.250 0.750 0.250
Y: 0.750 0.250 0.250
Y: 0.750 0.750 0.750
Cd: 0.000 0.000 0.500
Cd: 0.000 0.500 0.000
Cd: 0.500 0.000 0.000
Cd: 0.500 0.500 0.500

Material: La3NbCd
Method: DFT, GGA-PBE
State: relaxed

Summary:
Symmetry: No. 221
ΔE to the lowest computed polymorph, meV per atom: 0
E_form, eV per formula unit: 1.4

a b c (Å): 5.615 5.615 5.615
angles (deg): 90.00 90.00 90.00
Fractional positions:
La: 0.000 0.000 0.500
La: 0.000 0.500 0.000
La: 0.500 0.000 0.000
Nb: 0.000 0.000 0.000
Cd: 0.500 0.500 0.500

Material: LaNb2Cd
Method: DFT, GGA-PBE
State: relaxed

Summary:
Symmetry: No. 122
E_form, eV per formula unit: 3.4

a b c (Å): 8.040 8.040 5.954
angles (deg): 90.00 90.00 90.00
Fractional positions:
La: 0.000 0.000 0.000
La: 0.000 0.500 0.250
La: 0.500 0.000 0.750
La: 0.500 0.500 0.500
Nb: 0.233 0.250 0.625
Nb: 0.250 0.733 0.875
Nb: 0.250 0.767 0.375
Nb: 0.267 0.250 0.125
Nb: 0.733 0.750 0.125
Nb: 0.750 0.233 0.375
Nb: 0.750 0.267 0.875
Nb: 0.767 0.750 0.625
Cd: 0.000 0.000 0.500
Cd: 0.000 0.500 0.750
Cd: 0.500 0.000 0.250
Cd: 0.500 0.500 0.000

Material: La2Nb2Cd
Method: DFT, GGA-PBE
State: relaxed

Summary:
Symmetry: No. 127
E_form, eV per formula unit: 1.4

a b c (Å): 7.568 7.568 4.605
angles (deg): 90.00 90.00 90.00
Fractional positions:
La: 0.180 0.320 0.000
La: 0.320 0.820 0.000
La: 0.680 0.180 0.000
La: 0.820 0.680 0.000
Nb: 0.121 0.621 0.500
Nb: 0.379 0.121 0.500
Nb: 0.621 0.879 0.500
Nb: 0.879 0.379 0.500
Cd: 0.000 0.000 0.500
Cd: 0.500 0.500 0.500

Material: LaNbCdRe2
Method: DFT, GGA-PBE
State: relaxed

Summary:
Symmetry: No. 123
E_form, eV per formula unit: 11.9

a b c (Å): 4.965 4.965 5.336
angles (deg): 90.00 90.00 90.00
Fractional positions:
La: 0.000 0.000 0.000
Nb: 0.500 0.500 0.000
Cd: 0.000 0.000 0.500
Re: 0.000 0.500 0.500
Re: 0.500 0.000 0.500

Ordered magnetic moment results: 0.00 2.87 0.00 0.00 2.74 0.00 1.77 3.01 0.00 0.00 0.00 0.19; unit μB per cell.
Ordered total energy results: -13.96 -47.51 -19.95 -51.19 -46.94 -42.43 -46.06 -54.50 -24.40 -90.23 -59.05 -28.91; unit eV for the cell shown.